# 1
# PBE Tl2HgPtAu, relaxed
data_Tl2HgPtAu
_symmetry_space_group_name_H-M 'P 1'
_symmetry_Int_Tables_number 1
_cell_length_a 5.3188
_cell_length_b 5.3188
_cell_length_c 5.3021
_cell_angle_alpha 90.00
_cell_angle_beta 90.00
_cell_angle_gamma 90.00
loop_
_symmetry_equiv_pos_as_xyz
'x,y,z'
loop_
_atom_site_label
_atom_site_type_symbol
_atom_site_fract_x
_atom_site_fract_y
_atom_site_fract_z
Tl1 Tl 0.0000 0.5000 0.0000
Tl2 Tl 0.5000 0.0000 0.0000
Hg1 Hg 0.0000 0.0000 0.5000
Pt1 Pt 0.0000 0.0000 0.0000
Au1 Au 0.5000 0.5000 0.5000
# V   150 Å³/f.u.
# Polymorph energy (0 for the lowest one)   0.050 eV/atom
# SG   P4/mmm
# Fermi-level density of states   2.23 states/eV per cell
# DFT formation energy   0.11 eV/atom
# VASP energy   -2.76 eV per atom

=====

# 2
# PBE Gd2ZrSc, relaxed
data_Gd2ZrSc
_symmetry_space_group_name_H-M 'P 1'
_symmetry_Int_Tables_number 1
_cell_length_a 7.6222
_cell_length_b 7.6222
_cell_length_c 7.6222
_cell_angle_alpha 90.00
_cell_angle_beta 90.00
_cell_angle_gamma 90.00
loop_
_symmetry_equiv_pos_as_xyz
'x,y,z'
loop_
_atom_site_label
_atom_site_type_symbol
_atom_site_fract_x
_atom_site_fract_y
_atom_site_fract_z
Gd1 Gd 0.2500 0.2500 0.2500
Gd2 Gd 0.2500 0.2500 0.7500
Gd3 Gd 0.2500 0.7500 0.2500
Gd4 Gd 0.2500 0.7500 0.7500
Gd5 Gd 0.7500 0.2500 0.2500
Gd6 Gd 0.7500 0.2500 0.7500
Gd7 Gd 0.7500 0.7500 0.2500
Gd8 Gd 0.7500 0.7500 0.7500
Zr1 Zr 0.0000 0.0000 0.0000
Zr2 Zr 0.0000 0.5000 0.5000
Zr3 Zr 0.5000 0.0000 0.5000
Zr4 Zr 0.5000 0.5000 0.0000
Sc1 Sc 0.0000 0.0000 0.5000
Sc2 Sc 0.0000 0.5000 0.0000
Sc3 Sc 0.5000 0.0000 0.0000
Sc4 Sc 0.5000 0.5000 0.5000
# V   111 Å³/f.u.
# Polymorph energy (0 for the lowest one)   0.068 eV/atom
# SG   Fm-3m
# Fermi-level density of states   23.87 states/eV per cell
# DFT formation energy   0.16 eV/atom
# VASP energy   -10.60 eV per atom

=====

# 3
# PBE Pr8Tl5Hg, relaxed
data_Pr8Tl5Hg
_symmetry_space_group_name_H-M 'P 1'
_symmetry_Int_Tables_number 1
_cell_length_a 8.3783
_cell_length_b 8.3783
_cell_length_c 8.3783
_cell_angle_alpha 109.48
_cell_angle_beta 109.48
_cell_angle_gamma 109.46
loop_
_symmetry_equiv_pos_as_xyz
'x,y,z'
loop_
_atom_site_label
_atom_site_type_symbol
_atom_site_fract_x
_atom_site_fract_y
_atom_site_fract_z
Pr1 Pr 0.0216 0.1260 0.7484
Pr2 Pr 0.2272 0.4759 0.6022
Pr3 Pr 0.3750 0.7728 0.2487
Pr4 Pr 0.3777 0.2733 0.2516
Pr5 Pr 0.5241 0.1263 0.7513
Pr6 Pr 0.7267 0.9784 0.1044
Pr7 Pr 0.8740 0.6223 0.8956
Pr8 Pr 0.8737 0.6250 0.3978
Tl1 Tl 0.0011 0.3746 0.1256
Tl2 Tl 0.1245 0.9989 0.3735
Tl3 Tl 0.2490 0.8755 0.8744
Tl4 Tl 0.5000 0.5000 0.0000
Tl5 Tl 0.6254 0.7510 0.6265
Hg1 Hg 0.7500 0.2500 0.5000
# V   453 Å³/f.u.
# SG   I-4
# Fermi-level density of states   17.59 states/eV per cell
# DFT formation energy   -0.30 eV/atom
# VASP energy   -3.89 eV per atom

=====

# 4
# PBE ScTlSb2, relaxed
data_ScTlSb2
_symmetry_space_group_name_H-M 'P 1'
_symmetry_Int_Tables_number 1
_cell_length_a 3.3977
_cell_length_b 3.3977
_cell_length_c 32.4403
_cell_angle_alpha 90.00
_cell_angle_beta 90.00
_cell_angle_gamma 120.00
loop_
_symmetry_equiv_pos_as_xyz
'x,y,z'
loop_
_atom_site_label
_atom_site_type_symbol
_atom_site_fract_x
_atom_site_fract_y
_atom_site_fract_z
Sc1 Sc 0.0000 0.0000 0.0000
Sc2 Sc 0.3333 0.6667 0.6667
Sc3 Sc 0.6667 0.3333 0.3333
Tl1 Tl 0.0000 0.0000 0.7440
Tl2 Tl 0.3333 0.6667 0.4106
Tl3 Tl 0.6667 0.3333 0.0773
Sb1 Sb 0.0000 0.0000 0.2607
Sb2 Sb 0.0000 0.0000 0.4909
Sb3 Sb 0.3333 0.6667 0.1575
Sb4 Sb 0.3333 0.6667 0.9274
Sb5 Sb 0.6667 0.3333 0.5941
Sb6 Sb 0.6667 0.3333 0.8242
# V   108 Å³/f.u.
# Polymorph energy (0 for the lowest one)   0.366 eV/atom
# SG   R3m
# Fermi-level density of states   14.61 states/eV per cell
# VASP energy   -4.23 eV per atom

=====

# 5
# PBE HoPa2Al, relaxed
data_HoPa2Al
_symmetry_space_group_name_H-M 'P 1'
_symmetry_Int_Tables_number 1
_cell_length_a 4.3889
_cell_length_b 4.3889
_cell_length_c 4.9915
_cell_angle_alpha 90.00
_cell_angle_beta 90.00
_cell_angle_gamma 90.00
loop_
_symmetry_equiv_pos_as_xyz
'x,y,z'
loop_
_atom_site_label
_atom_site_type_symbol
_atom_site_fract_x
_atom_site_fract_y
_atom_site_fract_z
Ho1 Ho 0.0000 0.0000 0.0000
Pa1 Pa 0.0000 0.5000 0.5000
Pa2 Pa 0.5000 0.0000 0.5000
Al1 Al 0.5000 0.5000 0.0000
# V   96 Å³/f.u.
# Polymorph energy (0 for the lowest one)   0.000 eV/atom
# SG   P4/mmm
# Fermi-level density of states   7.65 states/eV per cell
# DFT formation energy   -0.03 eV/atom
# VASP energy   -6.86 eV per atom

=====

# 6
# PBE TaTlFe, relaxed
data_TaTlFe
_symmetry_space_group_name_H-M 'P 1'
_symmetry_Int_Tables_number 1
_cell_length_a 3.1760
_cell_length_b 3.1760
_cell_length_c 6.4626
_cell_angle_alpha 90.00
_cell_angle_beta 90.00
_cell_angle_gamma 120.00
loop_
_symmetry_equiv_pos_as_xyz
'x,y,z'
loop_
_atom_site_label
_atom_site_type_symbol
_atom_site_fract_x
_atom_site_fract_y
_atom_site_fract_z
Ta1 Ta 0.0000 0.0000 0.0000
Tl1 Tl 0.3333 0.6667 0.4107
Fe1 Fe 0.6667 0.3333 0.7626
# V   56 Å³/f.u.
# SG   P3m1
# Fermi-level density of states   1.88 states/eV per cell
# DFT formation energy   0.47 eV/atom
# VASP energy   -7.09 eV per atom

=====

# 7
# PBE Cs2Cd2SnTe4, relaxed
data_Cs2Cd2SnTe4
_symmetry_space_group_name_H-M 'P 1'
_symmetry_Int_Tables_number 1
_cell_length_a 9.0707
_cell_length_b 9.0707
_cell_length_c 9.0354
_cell_angle_alpha 107.81
_cell_angle_beta 107.81
_cell_angle_gamma 30.33
loop_
_symmetry_equiv_pos_as_xyz
'x,y,z'
loop_
_atom_site_label
_atom_site_type_symbol
_atom_site_fract_x
_atom_site_fract_y
_atom_site_fract_z
Cs1 Cs 0.1287 0.1287 0.0561
Cs2 Cs 0.8713 0.8713 0.9439
Cd1 Cd 0.3315 0.3315 0.5257
Cd2 Cd 0.6685 0.6685 0.4743
Sn1 Sn 0.0000 0.0000 0.5000
Te1 Te 0.1997 0.1997 0.6730
Te2 Te 0.4870 0.4870 0.7391
Te3 Te 0.5130 0.5130 0.2609
Te4 Te 0.8003 0.8003 0.3270
# V   356 Å³/f.u.
# SG   C2/m
# VASP energy   -2.90 eV per atom

=====

# 8
# PBE CaAcSmY, relaxed
data_CaAcSmY
_symmetry_space_group_name_H-M 'P 1'
_symmetry_Int_Tables_number 1
_cell_length_a 8.4396
_cell_length_b 8.4396
_cell_length_c 8.4396
_cell_angle_alpha 90.00
_cell_angle_beta 90.00
_cell_angle_gamma 90.00
loop_
_symmetry_equiv_pos_as_xyz
'x,y,z'
loop_
_atom_site_label
_atom_site_type_symbol
_atom_site_fract_x
_atom_site_fract_y
_atom_site_fract_z
Ca1 Ca 0.0000 0.0000 0.0000
Ca2 Ca 0.0000 0.5000 0.5000
Ca3 Ca 0.5000 0.0000 0.5000
Ca4 Ca 0.5000 0.5000 0.0000
Ac1 Ac 0.0000 0.0000 0.5000
Ac2 Ac 0.0000 0.5000 0.0000
Ac3 Ac 0.5000 0.0000 0.0000
Ac4 Ac 0.5000 0.5000 0.5000
Sm1 Sm 0.2500 0.2500 0.7500
Sm2 Sm 0.2500 0.7500 0.2500
Sm3 Sm 0.7500 0.2500 0.2500
Sm4 Sm 0.7500 0.7500 0.7500
Y1 Y 0.2500 0.2500 0.2500
Y2 Y 0.2500 0.7500 0.7500
Y3 Y 0.7500 0.2500 0.7500
Y4 Y 0.7500 0.7500 0.2500
# V   150 Å³/f.u.
# Polymorph energy (0 for the lowest one)   0.092 eV/atom
# SG   F-43m
# Fermi-level density of states   28.93 states/eV per cell
# DFT formation energy   0.15 eV/atom
# VASP energy   -4.17 eV per atom

=====

# 9
# PBE KTh2Se6, relaxed
data_KTh2Se6
_symmetry_space_group_name_H-M 'P 1'
_symmetry_Int_Tables_number 1
_cell_length_a 11.7448
_cell_length_b 11.7448
_cell_length_c 11.7448
_cell_angle_alpha 159.16
_cell_angle_beta 152.47
_cell_angle_gamma 34.78
loop_
_symmetry_equiv_pos_as_xyz
'x,y,z'
loop_
_atom_site_label
_atom_site_type_symbol
_atom_site_fract_x
_atom_site_fract_y
_atom_site_fract_z
K1 K 0.0000 0.0000 0.0000
Th1 Th 0.3219 0.8219 0.5000
Th2 Th 0.6781 0.1781 0.5000
Se1 Se 0.1495 0.3953 0.7542
Se2 Se 0.2283 0.2283 0.0000
Se3 Se 0.3589 0.6047 0.7542
Se4 Se 0.6411 0.3953 0.2458
Se5 Se 0.7717 0.7717 0.0000
Se6 Se 0.8505 0.6047 0.2458
# V   266 Å³/f.u.
# SG   Immm
# Fermi-level density of states   1.04 states/eV per cell
# VASP energy   -5.58 eV per atom

=====

# 10
# PBE HfGa3I, relaxed
data_HfGa3I
_symmetry_space_group_name_H-M 'P 1'
_symmetry_Int_Tables_number 1
_cell_length_a 5.4029
_cell_length_b 5.4029
_cell_length_c 5.4029
_cell_angle_alpha 90.00
_cell_angle_beta 90.00
_cell_angle_gamma 90.00
loop_
_symmetry_equiv_pos_as_xyz
'x,y,z'
loop_
_atom_site_label
_atom_site_type_symbol
_atom_site_fract_x
_atom_site_fract_y
_atom_site_fract_z
Hf1 Hf 0.0000 0.0000 0.0000
Ga1 Ga 0.0000 0.5000 0.5000
Ga2 Ga 0.5000 0.0000 0.5000
Ga3 Ga 0.5000 0.5000 0.0000
I1 I 0.5000 0.5000 0.5000
# V   158 Å³/f.u.
# Polymorph energy (0 for the lowest one)   0.700 eV/atom
# SG   Pm-3m
# Fermi-level density of states   4.08 states/eV per cell
# VASP energy   -2.87 eV per atom

=====

# 11
# PBE Pr4HoTl2, relaxed
data_Pr4HoTl2
_symmetry_space_group_name_H-M 'P 1'
_symmetry_Int_Tables_number 1
_cell_length_a 9.6314
_cell_length_b 9.6314
_cell_length_c 9.6314
_cell_angle_alpha 34.08
_cell_angle_beta 34.08
_cell_angle_gamma 34.08
loop_
_symmetry_equiv_pos_as_xyz
'x,y,z'
loop_
_atom_site_label
_atom_site_type_symbol
_atom_site_fract_x
_atom_site_fract_y
_atom_site_fract_z
Pr1 Pr 0.1303 0.1303 0.1303
Pr2 Pr 0.2688 0.2688 0.2688
Pr3 Pr 0.7312 0.7312 0.7312
Pr4 Pr 0.8697 0.8697 0.8697
Ho1 Ho 0.5000 0.5000 0.5000
Tl1 Tl 0.3872 0.3872 0.3872
Tl2 Tl 0.6128 0.6128 0.6128
# V   250 Å³/f.u.
# Polymorph energy (0 for the lowest one)   0.000 eV/atom
# SG   R-3m
# Fermi-level density of states   12.02 states/eV per cell
# DFT formation energy   0.01 eV/atom
# VASP energy   -4.05 eV per atom

=====

# 12
# PBE Li12NiRh6, relaxed
data_Li12NiRh6
_symmetry_space_group_name_H-M 'P 1'
_symmetry_Int_Tables_number 1
_cell_length_a 6.4973
_cell_length_b 6.4973
_cell_length_c 6.4973
_cell_angle_alpha 99.47
_cell_angle_beta 99.47
_cell_angle_gamma 99.47
loop_
_symmetry_equiv_pos_as_xyz
'x,y,z'
loop_
_atom_site_label
_atom_site_type_symbol
_atom_site_fract_x
_atom_site_fract_y
_atom_site_fract_z
Li1 Li 0.0000 0.2540 0.7460
Li2 Li 0.0000 0.7460 0.2540
Li3 Li 0.1813 0.5719 0.5719
Li4 Li 0.2540 0.0000 0.7460
Li5 Li 0.2540 0.7460 0.0000
Li6 Li 0.4281 0.4281 0.8187
Li7 Li 0.4281 0.8187 0.4281
Li8 Li 0.5719 0.1813 0.5719
Li9 Li 0.5719 0.5719 0.1813
Li10 Li 0.7460 0.0000 0.2540
Li11 Li 0.7460 0.2540 0.0000
Li12 Li 0.8187 0.4281 0.4281
Ni1 Ni 0.0000 0.0000 0.0000
Rh1 Rh 0.1387 0.1387 0.4050
Rh2 Rh 0.1387 0.4050 0.1387
Rh3 Rh 0.4050 0.1387 0.1387
Rh4 Rh 0.5950 0.8613 0.8613
Rh5 Rh 0.8613 0.5950 0.8613
Rh6 Rh 0.8613 0.8613 0.5950
# V   262 Å³/f.u.
# SG   R-3m
# Fermi-level density of states   15.06 states/eV per cell
# DFT formation energy   -0.02 eV/atom
# VASP energy   -3.86 eV per atom

=====

> What is the VASP energy in the ninth record?

-5.58 eV per atom

=====

> V of number 6 (TaTlFe)?

56 Å³/f.u.

=====

> What is the VASP energy in the seventh record?

-2.90 eV per atom

=====

> Which of these has the lowest VASP energy?

Gd2ZrSc